# 1
KCd: single point on PBEsol structure, meta-GGA SCAN.

formation enthalpy at 0 K	-0.05	eV per formula unit
electronic total energy	-38.79	eV/f.u.

```
data_KCd
_chemical_formula_sum 'K2 Cd2'
_space_group_name_H-M_alt 'P m m a'
_space_group_IT_number 51
_cell_length_a 5.262
_cell_length_b 3.945
_cell_length_c 7.020
_cell_angle_alpha 90.00
_cell_angle_beta 90.00
_cell_angle_gamma 90.00
loop_
_space_group_symop_operation_xyz
'x,y,z'
'-x,-y,-z'
'-x+1/2,-y,z'
'x+1/2,y,-z'
'x+1/2,-y,-z'
'-x+1/2,y,z'
'-x,y,-z'
'x,-y,z'
loop_
_atom_site_label
_atom_site_type_symbol
_atom_site_fract_x
_atom_site_fract_y
_atom_site_fract_z
K1 K 0.250 0.000 0.191
Cd1 Cd 0.250 0.500 0.603
```

# 2
KCd: single point on PBEsol structure, meta-GGA SCAN.

formation enthalpy at 0 K	0.00	eV per formula unit
electronic total energy	-38.74	eV/f.u.

```
data_KCd
_chemical_formula_sum 'K4 Cd4'
_space_group_name_H-M_alt 'I 41/a m d'
_space_group_IT_number 141
_cell_length_a 5.658
_cell_length_b 5.658
_cell_length_c 8.023
_cell_angle_alpha 90.00
_cell_angle_beta 90.00
_cell_angle_gamma 90.00
loop_
_space_group_symop_operation_xyz
'x,y,z'
'-x,-y,-z'
'-y+1/4,x+3/4,z+1/4'
'y+1/4,-x+3/4,-z+1/4'
'-x+1/2,-y,z+1/2'
'x+1/2,y,-z+1/2'
'y+1/4,-x+1/4,z+3/4'
'-y+1/4,x+1/4,-z+3/4'
'x,-y,-z'
'-x,y,z'
'-y+1/4,-x+1/4,-z+3/4'
'y+1/4,x+1/4,z+3/4'
'-x+1/2,y,-z+1/2'
'x+1/2,-y,z+1/2'
'y+1/4,x+3/4,-z+1/4'
'-y+1/4,-x+3/4,z+1/4'
'x+1/2,y+1/2,z+1/2'
'-x+1/2,-y+1/2,-z+1/2'
'-y+3/4,x+1/4,z+3/4'
'y+3/4,-x+1/4,-z+3/4'
'-x,-y+1/2,z'
'x,y+1/2,-z'
'y+3/4,-x+3/4,z+1/4'
'-y+3/4,x+3/4,-z+1/4'
'x+1/2,-y+1/2,-z+1/2'
'-x+1/2,y+1/2,z+1/2'
'-y+3/4,-x+3/4,-z+1/4'
'y+3/4,x+3/4,z+1/4'
'-x,y+1/2,-z'
'x,-y+1/2,z'
'y+3/4,x+1/4,-z+3/4'
'-y+3/4,-x+1/4,z+3/4'
loop_
_atom_site_label
_atom_site_type_symbol
_atom_site_fract_x
_atom_site_fract_y
_atom_site_fract_z
K1 K 0.000 0.250 0.375
Cd1 Cd 0.000 0.250 0.875
```

Please write out number 1 again, unchanged.
KCd: single point on PBEsol structure, meta-GGA SCAN.

formation enthalpy at 0 K	-0.05	eV per formula unit
electronic total energy	-38.79	eV/f.u.

```
data_KCd
_chemical_formula_sum 'K2 Cd2'
_space_group_name_H-M_alt 'P m m a'
_space_group_IT_number 51
_cell_length_a 5.262
_cell_length_b 3.945
_cell_length_c 7.020
_cell_angle_alpha 90.00
_cell_angle_beta 90.00
_cell_angle_gamma 90.00
loop_
_space_group_symop_operation_xyz
'x,y,z'
'-x,-y,-z'
'-x+1/2,-y,z'
'x+1/2,y,-z'
'x+1/2,-y,-z'
'-x+1/2,y,z'
'-x,y,-z'
'x,-y,z'
loop_
_atom_site_label
_atom_site_type_symbol
_atom_site_fract_x
_atom_site_fract_y
_atom_site_fract_z
K1 K 0.250 0.000 0.191
Cd1 Cd 0.250 0.500 0.603
```

The highest formation enthalpy at 0 K belongs to which entry?
number 2

Which value of formation enthalpy at 0 K does entry 2 give?
0.00 eV per formula unit

Look up the electronic total energy of the second one.
-38.74 eV/f.u.